5
Lattice="3.9879 0.0000 0.0000 0.0000 3.9879 0.0000 0.0000 0.0000 5.6113" Properties=species:S:1:pos:R:3 comment="CrGeIO2, optimized geometry, DFT PBE+U" e_tot_ev_per_fu=-24.997 vol_a3_per_cell=89 magnetic_moment_mub_per_cell=3.0 de_polymorph_mev_per_atom=121 pbc="T T T"
Cr 0.0000 0.0000 0.0000
Ge 1.9940 1.9940 2.8056
I 0.0000 0.0000 2.8056
O 0.0000 1.9940 0.0000
O 1.9940 0.0000 0.0000